Entry 1:
Entry from Alexandria via LeMat-Bulk: crystalline AcSc2Te4 at its relaxed geometry (GGA-PBE).

The structure in CIF format:
```
data_AcSc2Te4
_chemical_formula_sum 'Ac4 Sc8 Te16'
_symmetry_space_group_name_H-M 'C m c m'
_symmetry_Int_Tables_number 63
_symmetry_space_group_name_Hall '-C 2c 2'
_cell_length_a 4.352
_cell_length_b 13.832
_cell_length_c 14.574
_cell_angle_alpha 90.00
_cell_angle_beta 90.00
_cell_angle_gamma 90.00
loop_
_atom_site_label
_atom_site_type_symbol
_atom_site_fract_x
_atom_site_fract_y
_atom_site_fract_z
_atom_site_occupancy
Ac1 Ac 0.000 0.121 0.250 1
Sc1 Sc 0.000 0.373 0.062 1
Te1 Te 0.000 0.000 0.000 1
Te2 Te 0.000 0.267 0.612 1
Te3 Te 0.000 0.440 0.250 1
```

Values from the calculation:
Energy relative to the elements, uncorrected (eV per atom): -1.335

Entry 2:
Entry from Alexandria via LeMat-Bulk: crystalline AcScTl2Te4 at its relaxed geometry (GGA-PBE).

The structure in CIF format:
```
data_AcScTl2Te4
_chemical_formula_sum 'Ac1 Sc1 Tl2 Te4'
_symmetry_space_group_name_H-M 'P 1 2/m 1'
_symmetry_Int_Tables_number 10
_symmetry_space_group_name_Hall '-P 2y'
_cell_length_a 7.910
_cell_length_b 4.539
_cell_length_c 8.539
_cell_angle_alpha 90.00
_cell_angle_beta 107.57
_cell_angle_gamma 90.00
loop_
_atom_site_label
_atom_site_type_symbol
_atom_site_fract_x
_atom_site_fract_y
_atom_site_fract_z
_atom_site_occupancy
Ac1 Ac 0.000 0.000 0.000 1
Sc1 Sc 0.500 0.500 0.000 1
Tl1 Tl 0.000 0.500 0.500 1
Tl2 Tl 0.500 0.000 0.500 1
Te1 Te 0.269 0.500 0.221 1
Te2 Te 0.290 0.000 0.793 1
```

Values from the calculation:
Energy relative to the elements, uncorrected (eV per atom): -0.997

Entry 3:
Entry from Alexandria via LeMat-Bulk: crystalline AcTmScTe3 at its relaxed geometry (GGA-PBE).

The structure in CIF format:
```
data_AcTmScTe3
_chemical_formula_sum 'Ac2 Tm2 Sc2 Te6'
_symmetry_space_group_name_H-M 'P 1 21/m 1'
_symmetry_Int_Tables_number 11
_symmetry_space_group_name_Hall '-P 2yb'
_cell_length_a 8.876
_cell_length_b 4.425
_cell_length_c 10.116
_cell_angle_alpha 90.00
_cell_angle_beta 107.25
_cell_angle_gamma 90.00
loop_
_atom_site_label
_atom_site_type_symbol
_atom_site_fract_x
_atom_site_fract_y
_atom_site_fract_z
_atom_site_occupancy
Ac1 Ac 0.195 0.250 0.240 1
Tm1 Tm 0.319 0.750 0.836 1
Sc1 Sc 0.091 0.250 0.594 1
Te1 Te 0.098 0.250 0.884 1
Te2 Te 0.265 0.750 0.510 1
Te3 Te 0.440 0.750 0.158 1
```

Values from the calculation:
Energy relative to the elements, uncorrected (eV per atom): -1.221

Entry 4:
Entry from Alexandria via LeMat-Bulk: crystalline Ac2TmScTe6 at its relaxed geometry (GGA-PBE).

The structure in CIF format:
```
data_Ac2TmScTe6
_chemical_formula_sum 'Ac4 Tm2 Sc2 Te12'
_symmetry_space_group_name_H-M 'P 1 21/c 1'
_symmetry_Int_Tables_number 14
_symmetry_space_group_name_Hall '-P 2ybc'
_cell_length_a 7.470
_cell_length_b 8.356
_cell_length_c 13.331
_cell_angle_alpha 90.00
_cell_angle_beta 123.69
_cell_angle_gamma 90.00
loop_
_atom_site_label
_atom_site_type_symbol
_atom_site_fract_x
_atom_site_fract_y
_atom_site_fract_z
_atom_site_occupancy
Ac1 Ac 0.201 0.112 0.248 1
Tm1 Tm 0.500 0.000 0.000 1
Sc1 Sc 0.000 0.000 0.500 1
Te1 Te 0.105 0.186 0.941 1
Te2 Te 0.270 0.678 0.942 1
Te3 Te 0.373 0.026 0.745 1
```

Values from the calculation:
Energy relative to the elements, uncorrected (eV per atom): -1.462

Entry 5:
Entry from Alexandria via LeMat-Bulk: crystalline AcYScTe3 at its relaxed geometry (GGA-PBE).

The structure in CIF format:
```
data_AcYScTe3
_chemical_formula_sum 'Ac2 Y2 Sc2 Te6'
_symmetry_space_group_name_H-M 'P 1 21/m 1'
_symmetry_Int_Tables_number 11
_symmetry_space_group_name_Hall '-P 2yb'
_cell_length_a 9.012
_cell_length_b 4.433
_cell_length_c 10.112
_cell_angle_alpha 90.00
_cell_angle_beta 106.60
_cell_angle_gamma 90.00
loop_
_atom_site_label
_atom_site_type_symbol
_atom_site_fract_x
_atom_site_fract_y
_atom_site_fract_z
_atom_site_occupancy
Ac1 Ac 0.190 0.250 0.237 1
Y1 Y 0.324 0.750 0.839 1
Sc1 Sc 0.091 0.250 0.594 1
Te1 Te 0.099 0.250 0.883 1
Te2 Te 0.258 0.750 0.507 1
Te3 Te 0.437 0.750 0.163 1
```

Values from the calculation:
Energy relative to the elements, uncorrected (eV per atom): -1.261

Entry 6:
Entry from Alexandria via LeMat-Bulk: crystalline Ac2YScTe6 at its relaxed geometry (GGA-PBE).

The structure in CIF format:
```
data_Ac2YScTe6
_chemical_formula_sum 'Ac4 Y2 Sc2 Te12'
_symmetry_space_group_name_H-M 'P 1 21/c 1'
_symmetry_Int_Tables_number 14
_symmetry_space_group_name_Hall '-P 2ybc'
_cell_length_a 7.486
_cell_length_b 8.390
_cell_length_c 13.352
_cell_angle_alpha 90.00
_cell_angle_beta 123.50
_cell_angle_gamma 90.00
loop_
_atom_site_label
_atom_site_type_symbol
_atom_site_fract_x
_atom_site_fract_y
_atom_site_fract_z
_atom_site_occupancy
Ac1 Ac 0.200 0.113 0.247 1
Y1 Y 0.500 0.000 0.000 1
Sc1 Sc 0.000 0.000 0.500 1
Te1 Te 0.102 0.187 0.940 1
Te2 Te 0.268 0.676 0.940 1
Te3 Te 0.374 0.028 0.743 1
```

Values from the calculation:
Energy relative to the elements, uncorrected (eV per atom): -1.473

Entry 7:
Entry from Alexandria via LeMat-Bulk: crystalline AcTh2Sc at its relaxed geometry (GGA-PBE).

The structure in CIF format:
```
data_AcTh2Sc
_chemical_formula_sum 'Ac1 Th2 Sc1'
_symmetry_space_group_name_H-M 'P 4/m m m'
_symmetry_Int_Tables_number 123
_symmetry_space_group_name_Hall '-P 4 2'
_cell_length_a 3.651
_cell_length_b 3.651
_cell_length_c 9.847
_cell_angle_alpha 90.00
_cell_angle_beta 90.00
_cell_angle_gamma 90.00
loop_
_atom_site_label
_atom_site_type_symbol
_atom_site_fract_x
_atom_site_fract_y
_atom_site_fract_z
_atom_site_occupancy
Ac1 Ac 0.000 0.000 0.000 1
Th1 Th 0.500 0.500 0.275 1
Sc1 Sc 0.000 0.000 0.500 1
```

Values from the calculation:
ΔE_f (eV/atom): 0.13

Entry 8:
Entry from Alexandria via LeMat-Bulk: crystalline Ac2ThSc at its relaxed geometry (GGA-PBE).

The structure in CIF format:
```
data_Ac2ThSc
_chemical_formula_sum 'Ac6 Th3 Sc3'
_symmetry_space_group_name_H-M 'R -3 m'
_symmetry_Int_Tables_number 166
_symmetry_space_group_name_Hall '-R 3 2"'
_cell_length_a 3.6298
_cell_length_b 3.6298
_cell_length_c 38.5291
_cell_angle_alpha 90.00
_cell_angle_beta 90.00
_cell_angle_gamma 120.00
loop_
_atom_site_label
_atom_site_type_symbol
_atom_site_fract_x
_atom_site_fract_y
_atom_site_fract_z
_atom_site_occupancy
Ac1 Ac 0.0000 0.0000 0.0918 1
Th1 Th 0.0000 0.0000 0.0000 1
Sc1 Sc 0.0000 0.0000 0.5000 1
```

Values from the calculation:
ΔE_f (eV/atom): 0.34

Entry 9:
Entry from Alexandria via LeMat-Bulk: crystalline Ac2ThSc at its relaxed geometry (GGA-PBE).

The structure in CIF format:
```
data_Ac2ThSc
_chemical_formula_sum 'Ac2 Th1 Sc1'
_symmetry_space_group_name_H-M 'P 4/m m m'
_symmetry_Int_Tables_number 123
_symmetry_space_group_name_Hall '-P 4 2'
_cell_length_a 3.789
_cell_length_b 3.789
_cell_length_c 9.912
_cell_angle_alpha 90.00
_cell_angle_beta 90.00
_cell_angle_gamma 90.00
loop_
_atom_site_label
_atom_site_type_symbol
_atom_site_fract_x
_atom_site_fract_y
_atom_site_fract_z
_atom_site_occupancy
Ac1 Ac 0.000 0.000 0.238 1
Th1 Th 0.500 0.500 0.500 1
Sc1 Sc 0.500 0.500 0.000 1
```

Values from the calculation:
ΔE_f (eV/atom): 0.16

Entry 10:
Entry from Alexandria via LeMat-Bulk: crystalline AcTh2Sc at its relaxed geometry (GGA-PBE).

The structure in CIF format:
```
data_AcTh2Sc
_chemical_formula_sum 'Ac1 Th2 Sc1'
_symmetry_space_group_name_H-M 'P 4/m m m'
_symmetry_Int_Tables_number 123
_symmetry_space_group_name_Hall '-P 4 2'
_cell_length_a 5.055
_cell_length_b 5.055
_cell_length_c 5.160
_cell_angle_alpha 90.00
_cell_angle_beta 90.00
_cell_angle_gamma 90.00
loop_
_atom_site_label
_atom_site_type_symbol
_atom_site_fract_x
_atom_site_fract_y
_atom_site_fract_z
_atom_site_occupancy
Ac1 Ac 0.000 0.000 0.000 1
Th1 Th 0.000 0.500 0.500 1
Sc1 Sc 0.500 0.500 0.000 1
```

Values from the calculation:
ΔE_f (eV/atom): 0.16

Number 1: M_tot 0.000 μB per atom. Number 2: M_tot 0.000 μB per atom. Number 3: M_tot 0.211 μB per atom. Number 4: M_tot 0.000 μB per atom. Number 5: M_tot 0.211 μB per atom. Number 6: M_tot 0.000 μB per atom. Number 7: M_tot 0.000 μB per atom. Number 8: M_tot 0.000 μB per atom. Number 9: M_tot 0.000 μB per atom. Number 10: M_tot 0.000 μB per atom.